No. 1
5
Lattice="4.485 0.000 0.000 0.000 4.485 0.000 0.000 0.000 4.596" Properties=species:S:1:pos:R:3 comment="Mg2ScPbC, relaxed, DFT PBE" rho_g_cm3=5.617 n_ef_per_ev_cell=2.40 e_tot_ev_per_cell=-23.280 formation_enthalpy_0k_kj_per_mol_atoms=-16.0 spacegroup="P4/mmm (123)" magnetic_moment_mub_per_fu=0.00 pbc="T T T"
Mg 0.000 2.243 0.000
Mg 2.243 0.000 0.000
Sc 0.000 0.000 2.298
Pb 2.243 2.243 2.298
C 0.000 0.000 0.000

***

No. 2
12
Lattice="2.945 0.000 0.000 -1.473 2.551 0.000 0.000 0.000 25.700" Properties=species:S:1:pos:R:3 comment="CaCr2Rh, relaxed, DFT PBE" rho_g_cm3=6.372 de_polymorph_mev_per_atom=267 n_ef_per_ev_cell=11.87 e_tot_ev_per_cell=-79.903 formation_enthalpy_0k_kj_per_mol_atoms=47.4 spacegroup="R3m (160)" magnetic_moment_mub_per_fu=0.00 pbc="T T T"
Ca 0.000 0.000 0.000
Ca 0.000 1.701 17.134
Ca 1.473 0.850 8.567
Cr 0.000 0.000 5.884
Cr 0.000 0.000 12.932
Cr 0.000 1.701 4.365
Cr 0.000 1.701 23.018
Cr 1.473 0.850 14.451
Cr 1.473 0.850 21.499
Rh 0.000 0.000 19.514
Rh 0.000 1.701 10.947
Rh 1.473 0.850 2.380

***

No. 3
4
Lattice="3.210 0.000 0.000 0.000 4.623 0.000 -0.844 0.000 6.233" Properties=species:S:1:pos:R:3 comment="ZrTl2Ag, relaxed, DFT PBE" rho_g_cm3=10.911 de_polymorph_mev_per_atom=106 n_ef_per_ev_cell=2.21 e_tot_ev_per_cell=-15.667 formation_enthalpy_0k_kj_per_mol_atoms=11.2 spacegroup="P2/m (10)" magnetic_moment_mub_per_fu=0.00 pbc="T T T"
Zr 0.000 0.000 0.000
Tl 0.486 2.312 4.686
Tl 1.881 2.312 1.547
Ag 1.183 0.000 3.117

***

No. 4
12
Lattice="7.783 0.000 0.000 0.000 4.148 0.000 0.000 0.000 7.166" Properties=species:S:1:pos:R:3 comment="NdGa4Tc, relaxed, DFT PBE" rho_g_cm3=7.482 de_polymorph_mev_per_atom=0 n_ef_per_ev_cell=8.32 e_tot_ev_per_cell=-59.390 formation_enthalpy_0k_kj_per_mol_atoms=-39.5 spacegroup="Pmma (51)" magnetic_moment_mub_per_fu=0.00 pbc="T T T"
Nd 1.946 0.000 1.008
Nd 5.837 0.000 6.158
Ga 0.000 0.000 3.583
Ga 0.530 2.074 5.913
Ga 1.946 2.074 3.325
Ga 3.362 2.074 5.913
Ga 3.891 0.000 3.583
Ga 4.421 2.074 1.253
Ga 5.837 2.074 3.841
Ga 7.253 2.074 1.253
Tc 1.946 0.000 5.026
Tc 5.837 0.000 2.140

***

No. 5
16
Lattice="5.472 0.000 0.000 0.000 5.472 0.000 0.000 0.000 11.030" Properties=species:S:1:pos:R:3 comment="NiSbP2, relaxed, DFT PBE" rho_g_cm3=4.875 n_ef_per_ev_cell=8.07 e_tot_ev_per_cell=-83.737 spacegroup="I-42d (122)" e_form_raw_ev_per_atom=-0.053 magnetic_moment_mub_per_fu=0.00 pbc="T T T"
Ni 0.000 0.000 0.000
Ni 0.000 2.736 2.758
Ni 2.736 0.000 8.273
Ni 2.736 2.736 5.515
Sb 0.000 0.000 5.515
Sb 0.000 2.736 8.273
Sb 2.736 0.000 2.758
Sb 2.736 2.736 0.000
P 0.998 1.368 1.379
P 1.368 3.735 4.136
P 1.368 4.474 9.652
P 1.738 1.368 6.894
P 3.735 4.104 6.894
P 4.104 0.998 9.652
P 4.104 1.738 4.136
P 4.474 4.104 1.379

***

No. 6
12
Lattice="8.698 0.000 0.000 0.000 4.347 0.000 0.000 0.000 7.616" Properties=species:S:1:pos:R:3 comment="NdMg4Au, relaxed, DFT PBE" rho_g_cm3=5.056 n_ef_per_ev_cell=6.89 e_tot_ev_per_cell=-32.956 formation_enthalpy_0k_kj_per_mol_atoms=-33.0 spacegroup="Pmma (51)" magnetic_moment_mub_per_fu=0.00 pbc="T T T"
Nd 2.174 0.000 0.812
Nd 6.523 0.000 6.804
Mg 0.000 0.000 3.808
Mg 0.505 2.174 6.142
Mg 2.174 2.174 3.412
Mg 3.843 2.174 6.142
Mg 4.349 0.000 3.808
Mg 4.854 2.174 1.473
Mg 6.523 2.174 4.203
Mg 8.192 2.174 1.473
Au 2.174 0.000 5.371
Au 6.523 0.000 2.245

***

No. 7
12
Lattice="4.368 0.000 0.000 -2.184 3.783 0.000 0.000 0.000 21.574" Properties=species:S:1:pos:R:3 comment="La2OsRh, relaxed, DFT PBE" rho_g_cm3=7.979 de_polymorph_mev_per_atom=35 n_ef_per_ev_cell=17.86 e_tot_ev_per_cell=-87.774 formation_enthalpy_0k_kj_per_mol_atoms=-19.8 spacegroup="R3m (160)" magnetic_moment_mub_per_fu=0.70 pbc="T T T"
La 0.000 0.000 0.000
La 0.000 0.000 3.690
La 0.000 2.522 14.383
La 0.000 2.522 18.073
La 2.184 1.261 7.191
La 2.184 1.261 10.882
Os 0.000 0.000 16.237
Os 0.000 2.522 9.046
Os 2.184 1.261 1.854
Rh 0.000 0.000 9.018
Rh 0.000 2.522 1.827
Rh 2.184 1.261 16.210

***

No. 8
5
Lattice="4.899 0.000 0.000 0.000 4.899 0.000 0.000 0.000 4.899" Properties=species:S:1:pos:R:3 comment="FeReSe3, relaxed, DFT PBE" rho_g_cm3=6.764 de_polymorph_mev_per_atom=0 n_ef_per_ev_cell=7.14 e_tot_ev_per_cell=-26.691 spacegroup="Pm-3m (221)" e_form_raw_ev_per_atom=0.935 magnetic_moment_mub_per_fu=3.85 pbc="T T T"
Fe 0.000 0.000 0.000
Re 2.449 2.449 2.449
Se 0.000 2.449 2.449
Se 2.449 0.000 2.449
Se 2.449 2.449 0.000

***

No. 9
3
Lattice="4.377 0.000 0.000 -2.188 3.790 0.000 0.000 0.000 6.659" Properties=species:S:1:pos:R:3 comment="BiSbI, relaxed, DFT PBE" rho_g_cm3=6.879 de_polymorph_mev_per_atom=100 n_ef_per_ev_cell=2.61 e_tot_ev_per_cell=-9.671 spacegroup="P3m1 (156)" e_form_raw_ev_per_atom=-0.039 magnetic_moment_mub_per_fu=0.00 pbc="T T T"
Bi 0.000 0.000 0.000
Sb 0.000 2.527 5.037
I 2.188 1.263 2.523

***

No. 10
12
Lattice="3.725 0.000 0.000 -1.863 3.226 0.000 0.000 0.000 28.811" Properties=species:S:1:pos:R:3 comment="Ce2MnCd, relaxed, DFT PBE" rho_g_cm3=6.440 de_polymorph_mev_per_atom=323 n_ef_per_ev_cell=17.78 e_tot_ev_per_cell=-61.719 formation_enthalpy_0k_kj_per_mol_atoms=33.3 spacegroup="R-3m (166)" magnetic_moment_mub_per_fu=0.00 pbc="T T T"
Ce 0.000 0.000 3.350
Ce 0.000 0.000 25.461
Ce 0.000 2.151 15.858
Ce 0.000 2.151 22.557
Ce 1.863 1.075 6.254
Ce 1.863 1.075 12.953
Mn 0.000 0.000 14.405
Mn 0.000 2.151 4.802
Mn 1.863 1.075 24.009
Cd 0.000 0.000 0.000
Cd 0.000 2.151 19.207
Cd 1.863 1.075 9.604

***

No. 11
8
Lattice="8.028 0.000 0.000 0.000 2.908 0.000 -0.959 0.000 3.893" Properties=species:S:1:pos:R:3 comment="CrCoP2, relaxed, DFT PBE" rho_g_cm3=6.317 de_polymorph_mev_per_atom=17 n_ef_per_ev_cell=7.36 e_tot_ev_per_cell=-57.703 formation_enthalpy_0k_kj_per_mol_atoms=-31.4 spacegroup="Cm (8)" magnetic_moment_mub_per_fu=0.55 pbc="T T T"
Cr 0.000 0.000 0.000
Cr 4.014 1.454 0.000
Co 1.832 1.454 1.589
Co 5.846 0.000 1.589
P -0.397 1.454 2.018
P 1.297 0.000 3.525
P 3.616 0.000 2.018
P 5.311 1.454 3.525

***

No. 12
5
Lattice="4.345 0.000 0.000 0.000 4.345 0.000 0.000 0.000 4.458" Properties=species:S:1:pos:R:3 comment="SiPOs2Pd, relaxed, DFT PBE" rho_g_cm3=10.768 n_ef_per_ev_cell=4.33 e_tot_ev_per_cell=-33.411 spacegroup="P4/mmm (123)" e_form_raw_ev_per_atom=1.015 magnetic_moment_mub_per_fu=0.00 pbc="T T T"
Si 0.000 0.000 0.000
P 0.000 0.000 2.229
Os 0.000 2.173 2.229
Os 2.173 0.000 2.229
Pd 2.173 2.173 0.000

***

No. 13
10
Lattice="5.148 0.000 0.000 0.000 5.148 0.000 0.000 0.000 11.690" Properties=species:S:1:pos:R:3 comment="KY2Ge2, relaxed, DFT PBE" rho_g_cm3=3.883 n_ef_per_ev_cell=10.54 e_tot_ev_per_cell=-49.190 formation_enthalpy_0k_kj_per_mol_atoms=-25.8 spacegroup="I4/mmm (139)" magnetic_moment_mub_per_fu=0.00 pbc="T T T"
K 0.000 0.000 0.000
K 2.574 2.574 5.845
Y 0.000 2.574 2.923
Y 0.000 2.574 8.768
Y 2.574 0.000 2.923
Y 2.574 0.000 8.768
Ge 0.000 0.000 4.408
Ge 0.000 0.000 7.282
Ge 2.574 2.574 1.437
Ge 2.574 2.574 10.253

***

No. 14
18
Lattice="5.302 0.000 0.000 -2.651 4.591 0.000 0.000 0.000 10.494" Properties=species:S:1:pos:R:3 comment="NaPuRhO6, relaxed, DFT PBE" rho_g_cm3=6.057 n_ef_per_ev_cell=11.57 e_tot_ev_per_cell=-135.415 spacegroup="P-31c (163)" e_form_raw_ev_per_atom=-1.662 magnetic_moment_mub_per_fu=2.08 pbc="T T T"
Na 0.000 0.000 0.000
Na 0.000 0.000 5.247
Pu 0.000 3.061 2.624
Pu 2.651 1.530 7.871
Rh 0.000 3.061 7.871
Rh 2.651 1.530 2.624
O -0.946 1.653 6.788
O -1.692 2.946 8.953
O 0.946 1.653 8.953
O -0.746 4.584 6.788
O 1.904 0.008 1.541
O 0.959 1.645 3.706
O 1.692 2.946 6.788
O 0.746 4.584 8.953
O 3.397 0.008 3.706
O 1.705 2.938 1.541
O 4.343 1.645 1.541
O 3.596 2.938 3.706

***

No. 15
12
Lattice="4.060 0.000 0.000 -2.030 3.516 0.000 0.000 0.000 20.048" Properties=species:S:1:pos:R:3 comment="BeZnSe2, relaxed, DFT PBE" rho_g_cm3=4.044 de_polymorph_mev_per_atom=472 n_ef_per_ev_cell=0.00 e_tot_ev_per_cell=-39.188 spacegroup="R-3m (166)" e_form_raw_ev_per_atom=-0.273 magnetic_moment_mub_per_fu=0.00 pbc="T T T"
Be 0.000 0.000 0.000
Be 0.000 2.344 13.365
Be 2.030 1.172 6.683
Zn 0.000 0.000 10.024
Zn 0.000 2.344 3.341
Zn 2.030 1.172 16.707
Se 0.000 0.000 2.020
Se 0.000 0.000 18.028
Se 0.000 2.344 11.345
Se 0.000 2.344 15.385
Se 2.030 1.172 4.663
Se 2.030 1.172 8.703

***

No. 16
80
Lattice="-10.431 10.431 10.431 10.431 -10.431 10.431 10.431 10.431 -10.431" Properties=species:S:1:pos:R:3 comment="Cs5K3Hg12, relaxed, DFT PBE" rho_g_cm3=4.665 n_ef_per_ev_cell=30.04 e_tot_ev_per_cell=-58.456 formation_enthalpy_0k_kj_per_mol_atoms=-16.6 spacegroup="Ia-3d (230)" magnetic_moment_mub_per_fu=0.00 pbc="T T T"
Cs 0.000 0.000 0.000
Cs 5.216 5.216 -5.216
Cs 5.216 -5.216 5.216
Cs 10.431 0.000 0.000
Cs 15.647 2.608 0.000
Cs 10.431 -5.216 7.823
Cs 7.823 10.431 -5.216
Cs 7.823 0.000 5.216
Cs 5.216 7.823 0.000
Cs 10.431 5.216 2.608
Cs -5.216 5.216 5.216
Cs 0.000 10.431 0.000
Cs 0.000 0.000 10.431
Cs 5.216 5.216 5.216
Cs 0.000 5.216 7.823
Cs 5.216 2.608 10.431
Cs 2.608 10.431 5.216
Cs 2.608 0.000 15.647
Cs 0.000 15.647 2.608
Cs -5.216 7.823 10.431
K 5.216 2.608 0.000
K 10.431 5.216 -2.608
K 2.608 0.000 5.216
K 13.039 0.000 5.216
K 0.000 5.216 2.608
K 5.216 -2.608 10.431
K 5.216 13.039 0.000
K 10.431 5.216 7.823
K -2.608 10.431 5.216
K 7.823 10.431 5.216
K 0.000 5.216 13.039
K 5.216 7.823 10.431
Hg 13.605 -0.319 1.739
Hg 12.474 -3.477 4.896
Hg 10.751 -1.739 3.173
Hg 15.328 -2.042 3.477
Hg 3.173 0.319 1.739
Hg 12.474 6.954 -4.896
Hg 6.954 4.896 -2.042
Hg 8.693 3.173 -0.319
Hg 1.739 3.173 0.319
Hg 13.908 5.535 -2.042
Hg 0.319 1.739 3.173
Hg 4.896 -2.042 6.954
Hg 10.751 8.693 -3.173
Hg 4.896 2.042 3.477
Hg 3.477 4.896 2.042
Hg 12.170 7.258 -0.319
Hg 6.954 -4.896 12.474
Hg 8.693 -3.173 10.751
Hg 2.042 3.477 4.896
Hg 3.173 -0.319 8.693
Hg 4.896 12.474 -3.477
Hg 10.751 1.739 7.258
Hg 3.173 10.751 -1.739
Hg 12.474 3.477 5.535
Hg -2.042 6.954 4.896
Hg 7.258 -0.319 12.170
Hg -0.319 8.693 3.173
Hg 5.535 -2.042 13.908
Hg 7.258 10.751 1.739
Hg 8.389 6.954 5.535
Hg 1.739 13.605 -0.319
Hg 3.477 15.328 -2.042
Hg -1.739 3.173 10.751
Hg 6.954 5.535 8.389
Hg 5.535 8.389 6.954
Hg -0.319 1.739 13.605
Hg 5.535 12.474 3.477
Hg 10.112 8.693 7.258
Hg -3.477 4.896 12.474
Hg 8.693 7.258 10.112
Hg 1.739 7.258 10.751
Hg 3.477 5.535 12.474
Hg -2.042 3.477 15.328
Hg 7.258 10.112 8.693
Hg -4.896 12.474 6.954
Hg -0.319 12.170 7.258
Hg -2.042 13.908 5.535
Hg -3.173 10.751 8.693

***

No. 17
16
Lattice="6.949 0.000 0.000 0.000 6.949 0.000 0.000 0.000 6.949" Properties=species:S:1:pos:R:3 comment="GdThFeRh, relaxed, DFT PBE" rho_g_cm3=10.849 n_ef_per_ev_cell=11.58 e_tot_ev_per_cell=-153.806 formation_enthalpy_0k_kj_per_mol_atoms=-27.4 spacegroup="F-43m (216)" magnetic_moment_mub_per_fu=7.61 pbc="T T T"
Gd 0.000 0.000 0.000
Gd 0.000 3.474 3.474
Gd 3.474 0.000 3.474
Gd 3.474 3.474 0.000
Th 0.000 0.000 3.474
Th 0.000 3.474 0.000
Th 3.474 0.000 0.000
Th 3.474 3.474 3.474
Fe 1.737 1.737 5.212
Fe 1.737 5.212 1.737
Fe 5.212 1.737 1.737
Fe 5.212 5.212 5.212
Rh 1.737 1.737 1.737
Rh 1.737 5.212 5.212
Rh 5.212 1.737 5.212
Rh 5.212 5.212 1.737

***

No. 18
14
Lattice="6.090 0.000 0.000 0.000 6.090 0.000 0.000 0.000 5.795" Properties=species:S:1:pos:R:3 comment="LiZn4Ir2, relaxed, DFT PBE" rho_g_cm3=10.089 n_ef_per_ev_cell=3.58 e_tot_ev_per_cell=-53.344 formation_enthalpy_0k_kj_per_mol_atoms=-26.7 spacegroup="I4/mmm (139)" magnetic_moment_mub_per_fu=0.00 pbc="T T T"
Li 0.000 0.000 0.000
Li 3.045 3.045 2.898
Zn 1.523 1.523 1.449
Zn 1.523 1.523 4.346
Zn 1.523 4.568 1.449
Zn 1.523 4.568 4.346
Zn 4.568 1.523 1.449
Zn 4.568 1.523 4.346
Zn 4.568 4.568 1.449
Zn 4.568 4.568 4.346
Ir 0.000 3.045 0.000
Ir 0.000 3.045 2.898
Ir 3.045 0.000 0.000
Ir 3.045 0.000 2.898

***

No. 19
16
Lattice="7.289 0.000 0.000 0.000 7.289 0.000 0.000 0.000 7.289" Properties=species:S:1:pos:R:3 comment="PmPuAl2, relaxed, DFT PBE" rho_g_cm3=7.597 de_polymorph_mev_per_atom=21 n_ef_per_ev_cell=27.59 e_tot_ev_per_cell=-109.421 formation_enthalpy_0k_kj_per_mol_atoms=-19.0 spacegroup="Fm-3m (225)" magnetic_moment_mub_per_fu=5.39 pbc="T T T"
Pm 0.000 0.000 0.000
Pm 0.000 3.645 3.645
Pm 3.645 0.000 3.645
Pm 3.645 3.645 0.000
Pu 0.000 0.000 3.645
Pu 0.000 3.645 0.000
Pu 3.645 0.000 0.000
Pu 3.645 3.645 3.645
Al 1.822 1.822 1.822
Al 1.822 1.822 5.467
Al 1.822 5.467 1.822
Al 1.822 5.467 5.467
Al 5.467 1.822 1.822
Al 5.467 1.822 5.467
Al 5.467 5.467 1.822
Al 5.467 5.467 5.467

***

No. 20
16
Lattice="7.257 0.000 0.000 0.000 7.257 0.000 0.000 0.000 7.257" Properties=species:S:1:pos:R:3 comment="BaAs2Pt, relaxed, DFT PBE" rho_g_cm3=8.380 n_ef_per_ev_cell=4.46 e_tot_ev_per_cell=-69.478 formation_enthalpy_0k_kj_per_mol_atoms=-2.6 spacegroup="F-43m (216)" magnetic_moment_mub_per_fu=0.00 pbc="T T T"
Ba 0.000 0.000 0.000
Ba 0.000 3.629 3.629
Ba 3.629 0.000 3.629
Ba 3.629 3.629 0.000
As 0.000 0.000 3.629
As 0.000 3.629 0.000
As 1.814 1.814 5.443
As 1.814 5.443 1.814
As 3.629 0.000 0.000
As 3.629 3.629 3.629
As 5.443 1.814 1.814
As 5.443 5.443 5.443
Pt 1.814 1.814 1.814
Pt 1.814 5.443 5.443
Pt 5.443 1.814 5.443
Pt 5.443 5.443 1.814

***

No. 21
12
Lattice="2.519 -7.569 0.000 2.519 7.569 0.000 0.000 0.000 10.093" Properties=species:S:1:pos:R:3 comment="PmDyY3Tm, relaxed, DFT PBE" rho_g_cm3=6.413 n_ef_per_ev_cell=17.11 e_tot_ev_per_cell=-66.156 formation_enthalpy_0k_kj_per_mol_atoms=2.2 spacegroup="Cmcm (63)" magnetic_moment_mub_per_fu=0.00 pbc="T T T"
Pm 2.519 7.555 7.570
Pm 2.519 -7.555 2.523
Dy 2.519 0.000 0.000
Dy 2.519 0.000 5.047
Y 2.519 5.050 10.091
Y 2.519 5.050 5.049
Y 2.519 2.535 7.570
Y 2.519 -2.535 2.523
Y 2.519 -5.050 0.002
Y 2.519 -5.050 5.044
Tm 2.519 2.522 2.523
Tm 2.519 -2.522 7.570

***

No. 22
5
Lattice="4.489 0.000 0.000 0.000 4.489 0.000 0.000 0.000 4.764" Properties=species:S:1:pos:R:3 comment="TaMnV2Re, relaxed, DFT PBE" rho_g_cm3=9.062 n_ef_per_ev_cell=6.65 e_tot_ev_per_cell=-40.970 formation_enthalpy_0k_kj_per_mol_atoms=207.2 spacegroup="P4/mmm (123)" magnetic_moment_mub_per_fu=0.03 pbc="T T T"
Ta 0.000 0.000 0.000
Mn 2.245 2.245 2.382
V 0.000 2.245 0.000
V 2.245 0.000 0.000
Re 0.000 0.000 2.382

***

No. 23
16
Lattice="5.786 0.000 0.000 0.000 5.786 0.000 0.000 0.000 5.786" Properties=species:S:1:pos:R:3 comment="MnCuSi2, relaxed, DFT PBE" rho_g_cm3=5.989 n_ef_per_ev_cell=8.77 e_tot_ev_per_cell=-94.865 spacegroup="Fm-3m (225)" e_form_raw_ev_per_atom=0.099 magnetic_moment_mub_per_fu=1.76 pbc="T T T"
Mn 0.000 0.000 0.000
Mn 0.000 2.893 2.893
Mn 2.893 0.000 2.893
Mn 2.893 2.893 0.000
Cu 0.000 0.000 2.893
Cu 0.000 2.893 0.000
Cu 2.893 0.000 0.000
Cu 2.893 2.893 2.893
Si 1.447 1.447 1.447
Si 1.447 1.447 4.340
Si 1.447 4.340 1.447
Si 1.447 4.340 4.340
Si 4.340 1.447 1.447
Si 4.340 1.447 4.340
Si 4.340 4.340 1.447
Si 4.340 4.340 4.340